Below is a relaxed Ba2Li2CaTl2 crystal, with properties calculated at the PBE-GGA level.

Lattice parameters (Å, degrees): 11.9690 11.9690 11.9690 24.50 24.50 24.50
Closest atoms and distances in Å follow each position.
Sites, in units of the cell vectors:
1 Ba 0.1114 0.1114 0.1114  3 Tl 3.65, 3 Li 3.84, 1 Ca 3.88
2 Ba 0.8886 0.8886 0.8886  3 Tl 3.65, 3 Li 3.84, 1 Ca 3.88
3 Li 0.3734 0.3734 0.3734  4 Tl 2.95-3.09, 3 Ca 3.25
4 Li 0.6266 0.6266 0.6266  4 Tl 2.95-3.09, 3 Ca 3.25
5 Ca 0.0000 0.0000 0.0000  6 Li 3.25, 6 Tl 3.39
6 Tl 0.2846 0.2846 0.2846  4 Li 2.95-3.09
7 Tl 0.7154 0.7154 0.7154  4 Li 2.95-3.09

Computed properties:
M_tot: 0.0010 μB per atom
VASP energy: -16.09 eV per cell
D(E_F): 8.41 states/eV/f.u.

***

Below is a relaxed Nd3SmPd crystal, with properties calculated at the PBE-GGA level.

Lattice parameters (Å, degrees): 6.5372 6.5372 14.1342 113.52 113.52 34.21
Closest atoms and distances in Å follow each position.
Sites, in units of the cell vectors:
1 Nd 0.0000 0.0000 0.0000  9 Nd 3.64-4.06, 3 Sm 3.66, 1 Pd 3.68
2 Nd 0.0257 0.0257 0.3706  2 Pd 3.13
3 Nd 0.3303 0.3303 0.7657  2 Pd 3.17
4 Nd 0.3576 0.3576 0.1335  10 Nd 3.64-4.06, 2 Sm 3.68, 1 Pd 3.73
5 Nd 0.6794 0.6794 0.2356  2 Pd 2.96
6 Nd 0.7950 0.7950 0.5309  3 Pd 2.98-3.20
7 Sm 0.5616 0.5616 0.6080  3 Pd 2.94-3.18
8 Sm 0.6784 0.6784 0.8980  2 Pd 2.92
9 Pd 0.0231 0.0231 0.7485  4 Sm 2.92-2.94, 3 Nd 3.17-3.20
10 Pd 0.3383 0.3383 0.3895  6 Nd 2.96-3.13, 1 Sm 3.18

Computed properties:
M_tot: 0.0000 μB per atom
D(E_F): 6.04 states/eV/f.u.
excess energy over the best structure of this formula in the dataset: 0.000 eV per atom

***

Please write out number 2 again, unchanged.
Below is a relaxed Nd3SmPd crystal, with properties calculated at the PBE-GGA level.

Lattice parameters (Å, degrees): 6.5372 6.5372 14.1342 113.52 113.52 34.21
Closest atoms and distances in Å follow each position.
Sites, in units of the cell vectors:
1 Nd 0.0000 0.0000 0.0000  9 Nd 3.64-4.06, 3 Sm 3.66, 1 Pd 3.68
2 Nd 0.0257 0.0257 0.3706  2 Pd 3.13
3 Nd 0.3303 0.3303 0.7657  2 Pd 3.17
4 Nd 0.3576 0.3576 0.1335  10 Nd 3.64-4.06, 2 Sm 3.68, 1 Pd 3.73
5 Nd 0.6794 0.6794 0.2356  2 Pd 2.96
6 Nd 0.7950 0.7950 0.5309  3 Pd 2.98-3.20
7 Sm 0.5616 0.5616 0.6080  3 Pd 2.94-3.18
8 Sm 0.6784 0.6784 0.8980  2 Pd 2.92
9 Pd 0.0231 0.0231 0.7485  4 Sm 2.92-2.94, 3 Nd 3.17-3.20
10 Pd 0.3383 0.3383 0.3895  6 Nd 2.96-3.13, 1 Sm 3.18

Computed properties:
M_tot: 0.0000 μB per atom
D(E_F): 6.04 states/eV/f.u.
excess energy over the best structure of this formula in the dataset: 0.000 eV per atom

***

> Which of these has the highest D(E_F)?

Ba2Li2CaTl2